(1)
The following is a DFT calculation (GGA-PBE) of a relaxed structure of ReMo2.

Properties
* formation energy from the elements: 0.048 eV per atom
* volume: 46.7 Å³ per cell
* space-group type: I4/mmm, No. 139

Cell lengths 3.145, 3.145, 5.220 Å; angles 107.53, 107.53, 90.00 degrees
Atoms (fractional coordinates):
1 Mo 0.333 0.333 0.667
2 Mo 0.667 0.667 0.333
3 Re 0.000 0.000 0.000

(2)
The following is a DFT calculation (GGA-PBE) of a relaxed structure of MoSI.

Properties
* energy relative to the elements, uncorrected: -0.269 eV/atom
* volume: 150.0 Å³ per cell
* space-group type: Pmma, No. 51

Cell lengths 3.262, 7.506, 6.127 Å; angles 90.00, 90.00, 90.04 degrees
Atoms (fractional coordinates):
1 Mo 0.956 0.453 0.483
2 Mo 0.956 0.453 0.983
3 I 0.956 0.757 0.233
4 S 0.455 0.310 0.233
5 I 0.955 0.149 0.733
6 S 0.456 0.596 0.733

(3)
The following is a DFT calculation (GGA-PBE) of a relaxed structure of Sn2HgAs.

Properties
* formation energy from the elements: 0.147 eV per atom
* volume: 100.3 Å³ per cell
* space-group type: Fm-3m, No. 225

Cell lengths 5.215, 5.215, 5.215 Å; angles 60.00, 60.00, 60.00 degrees
Atoms (fractional coordinates):
1 Sn 0.750 0.750 0.750
2 As 0.000 0.000 0.000
3 Hg 0.500 0.500 0.500
4 Sn 0.250 0.250 0.250

(4)
The following is a DFT calculation (GGA-PBE) of a relaxed structure of Li2SmGeTe4.

Properties
* energy relative to the elements, uncorrected: -0.789 eV/atom
* volume: 222.6 Å³ per cell
* space-group type: P2/m, No. 10

Cell lengths 4.215, 7.600, 7.345 Å; angles 108.90, 90.00, 90.00 degrees
Atoms (fractional coordinates):
1 Te 0.500 0.765 0.750
2 Ge 0.000 0.000 0.000
3 Sm 0.500 0.500 0.000
4 Li 0.500 0.000 0.500
5 Li 0.000 0.500 0.500
6 Te 0.000 0.764 0.259
7 Te 0.500 0.235 0.250
8 Te 0.000 0.236 0.741

(5)
The following is a DFT calculation (GGA-PBE) of a relaxed structure of Nd12SiHg6.

Properties
* energy relative to the elements, uncorrected: -0.261 eV/atom
* volume: 598.1 Å³ per cell
* space-group type: R-3, No. 148

Cell lengths 8.446, 8.446, 8.446 Å; angles 93.87, 93.87, 93.87 degrees
Atoms (fractional coordinates):
1 Nd 0.028 0.905 0.676
2 Nd 0.197 0.436 0.540
3 Nd 0.905 0.676 0.028
4 Si 0.000 0.000 0.000
5 Nd 0.324 0.972 0.095
6 Nd 0.676 0.028 0.905
7 Hg 0.856 0.259 0.664
8 Hg 0.144 0.741 0.336
9 Hg 0.259 0.664 0.856
10 Nd 0.972 0.095 0.324
11 Nd 0.460 0.803 0.564
12 Hg 0.741 0.336 0.144
13 Nd 0.564 0.460 0.803
14 Nd 0.803 0.564 0.460
15 Nd 0.095 0.324 0.972
16 Nd 0.436 0.540 0.197
17 Hg 0.336 0.144 0.741
18 Nd 0.540 0.197 0.436
19 Hg 0.664 0.856 0.259

(6)
The following is a DFT calculation (GGA-PBE) of a relaxed structure of SrSn4Au2.

Properties
* formation energy from the elements: -0.301 eV per atom
* volume: 187.2 Å³ per cell
* space-group type: Cmmm, No. 65

Cell lengths 4.429, 4.566, 9.535 Å; angles 103.85, 90.00, 90.00 degrees
Atoms (fractional coordinates):
1 Au 0.500 0.426 0.852
2 Sr 0.000 0.000 0.000
3 Sn 0.500 0.829 0.658
4 Au 0.500 0.574 0.148
5 Sn 0.000 0.683 0.366
6 Sn 0.500 0.171 0.342
7 Sn 0.000 0.317 0.634

(7)
The following is a DFT calculation (GGA-PBE) of a relaxed structure of Np2Co3Ge4Pt.

Properties
* formation energy from the elements: -0.352 eV per atom
* volume: 164.3 Å³ per cell
* space-group type: P-4m2, No. 115

Cell lengths 4.065, 4.065, 9.944 Å; angles 90.00, 90.00, 90.00 degrees
Atoms (fractional coordinates):
1 Np 0.500 0.000 0.238
2 Co 0.500 0.000 0.874
3 Co 0.000 0.500 0.126
4 Ge 0.000 0.000 0.000
5 Ge 0.500 0.000 0.643
6 Ge 0.000 0.500 0.357
7 Ge 0.500 0.500 0.000
8 Pt 0.500 0.500 0.500
9 Np 0.000 0.500 0.762
10 Co 0.000 0.000 0.500

(8)
The following is a DFT calculation (GGA-PBE) of a relaxed structure of InAgAs2.

Properties
* formation energy from the elements: 0.202 eV per atom
* volume: 88.9 Å³ per cell
* space-group type: Pmmm, No. 47

Cell lengths 2.993, 4.374, 6.793 Å; angles 90.00, 90.00, 90.00 degrees
Atoms (fractional coordinates):
1 As 0.000 0.000 0.942
2 In 0.500 0.500 0.250
3 Ag 0.500 0.500 0.750
4 As 0.000 0.000 0.558

(9)
The following is a DFT calculation (GGA-PBE) of a relaxed structure of Li3AuF.

Properties
* energy relative to the elements, uncorrected: -0.583 eV/atom
* volume: 114.5 Å³ per cell
* space-group type: Pm-3m, No. 221

Cell lengths 4.856, 4.856, 4.856 Å; angles 90.00, 90.00, 90.00 degrees
Atoms (fractional coordinates):
1 Li 0.000 0.500 0.000
2 Li 0.000 0.000 0.500
3 Li 0.500 0.000 0.000
4 F 0.500 0.500 0.500
5 Au 0.000 0.000 0.000

(10)
The following is a DFT calculation (GGA-PBE) of a relaxed structure of Zn2SiBiAu.

Properties
* energy relative to the elements, uncorrected: 1.060 eV/atom
* volume: 152.9 Å³ per cell
* space-group type: P4/mmm, No. 123

Cell lengths 5.324, 5.395, 5.324 Å; angles 90.00, 90.00, 90.00 degrees
Atoms (fractional coordinates):
1 Bi 0.000 0.000 0.000
2 Zn 0.000 0.000 0.500
3 Si 0.500 0.500 0.500
4 Zn 0.500 0.000 0.000
5 Au 0.000 0.500 0.000

(11)
The following is a DFT calculation (GGA-PBE) of a relaxed structure of BaInMo3.

Properties
* formation energy from the elements: 2.075 eV per atom
* volume: 133.9 Å³ per cell
* space-group type: Pm-3m, No. 221

Cell lengths 5.116, 5.116, 5.116 Å; angles 90.00, 90.00, 90.00 degrees
Atoms (fractional coordinates):
1 In 0.000 0.000 0.000
2 Ba 0.500 0.500 0.500
3 Mo 0.500 0.000 0.000
4 Mo 0.000 0.500 0.000
5 Mo 0.000 0.000 0.500

(12)
The following is a DFT calculation (GGA-PBE) of a relaxed structure of Ca7Ga2Sn2.

Properties
* formation energy from the elements: -0.301 eV per atom
* volume: 363.5 Å³ per cell
* space-group type: Cmmm, No. 65

Cell lengths 6.969, 8.041, 6.969 Å; angles 90.01, 111.41, 89.99 degrees
Atoms (fractional coordinates):
1 Ca 0.000 0.290 0.500
2 Ga 0.164 0.500 0.164
3 Sn 0.704 0.000 0.296
4 Ca 0.500 0.710 0.000
5 Sn 0.296 0.000 0.704
6 Ca 0.000 0.000 0.000
7 Ca 0.500 0.272 0.500
8 Ca 0.000 0.710 0.500
9 Ca 0.500 0.290 0.000
10 Ca 0.500 0.728 0.500
11 Ga 0.836 0.500 0.836